Density functional theory data (GGA+U) for crystalline AlCo2O at its relaxed geometry.

Values from the calculation:
offset from the most stable computed form = 0.525 eV per atom
raw total energy = -16.5 eV per formula unit
magnetization = 3.0 μB/cell

Unit cell a=3.981 b=3.981 c=3.981 alpha=60.00 beta=60.00 gamma=60.00
Atoms (fractional coordinates):
Al 0.500 0.500 0.500
O 0.000 0.000 0.000
Co 0.250 0.250 0.250
Co 0.750 0.750 0.750